A plane-wave DFT calculation with GGA-PBE was carried out for a relaxed MgTcHg crystal.

Computed properties:
The value obtained for the formation energy from the elements is 107 kJ/mol of formula units. As for the space group: No. 42. For the polymorph energy (0 for the lowest one), the calculation gives 0 kJ/mol of formula units.

Structure (CIF):
```
data_MgTcHg
_chemical_formula_sum 'Mg1 Tc1 Hg1'
_cell_length_a 6.815
_cell_length_b 6.813
_cell_length_c 2.889
_cell_angle_alpha 77.79
_cell_angle_beta 77.73
_cell_angle_gamma 24.48
_space_group_name_H-M_alt 'P 1'
_space_group_IT_number 1
_space_group_name_Hall 'P 1'
loop_
_atom_site_label
_atom_site_type_symbol
_atom_site_fract_x
_atom_site_fract_y
_atom_site_fract_z
Mg1 Mg 0.000 0.000 0.000
Tc1 Tc 0.347 0.347 0.653
Hg1 Hg 0.680 0.680 0.320
```